No. 1
# LiMnPH12O10 | Alexandria via LeMat-Bulk | PBE with a Hubbard U | relaxed
data_LiMnPH12O10
_chemical_formula_sum 'Li2 Mn2 P2 H24 O20'
_cell_length_a 6.7720
_cell_length_b 6.2690
_cell_length_c 11.2279
_cell_angle_alpha 90.00
_cell_angle_beta 90.00
_cell_angle_gamma 90.00
_symmetry_space_group_name_H-M 'P m n 21'
_symmetry_Int_Tables_number 31
_symmetry_space_group_name_Hall 'P 2ac -2'
loop_
_atom_site_label
_atom_site_type_symbol
_atom_site_fract_x
_atom_site_fract_y
_atom_site_fract_z
Li1 Li 0.0000 0.0395 0.0000
Mn1 Mn 0.0000 0.8864 0.7095
P1 P 0.0000 0.4915 0.3439
H1 H 0.0000 0.2351 0.5474
H2 H 0.0000 0.3347 0.6807
H3 H 0.1202 0.4994 0.8258
H4 H 0.1548 0.3197 0.1431
H5 H 0.1814 0.1153 0.3760
H6 H 0.2211 0.7062 0.5210
H7 H 0.2390 0.8676 0.3536
O1 O 0.0000 0.1992 0.6350
O2 O 0.0000 0.2664 0.4051
O3 O 0.0000 0.4647 0.2075
O4 O 0.0000 0.5534 0.7807
O5 O 0.1884 0.6139 0.3849
O6 O 0.2033 0.9846 0.8591
O7 O 0.2367 0.2129 0.0946
# Crystal system: orthorhombic
# Calculated volume: 9.5 Å³/atom
# Raw total energy: -5.55 eV/atom

No. 2
# LiMnVP2H2O10 | Alexandria via LeMat-Bulk | PBE with a Hubbard U | relaxed
data_LiMnVP2H2O10
_chemical_formula_sum 'Li1 Mn1 V1 P2 H2 O10'
_cell_length_a 5.3267
_cell_length_b 5.3341
_cell_length_c 7.3517
_cell_angle_alpha 104.83
_cell_angle_beta 109.97
_cell_angle_gamma 99.51
_symmetry_space_group_name_H-M 'P 1'
_symmetry_Int_Tables_number 1
_symmetry_space_group_name_Hall 'P 1'
loop_
_atom_site_label
_atom_site_type_symbol
_atom_site_fract_x
_atom_site_fract_y
_atom_site_fract_z
Li1 Li 0.0000 0.0000 0.0000
Mn1 Mn 0.5447 0.9791 0.1045
V1 V 0.0458 0.4738 0.5958
P1 P 0.4422 0.5591 0.3359
P2 P 0.6495 0.3969 0.8607
H1 H 0.2302 0.9796 0.7704
H2 H 0.8959 0.9735 0.4194
O1 O 0.2063 0.8375 0.8337
O2 O 0.2942 0.6048 0.4890
O3 O 0.3277 0.2953 0.7342
O4 O 0.3405 0.2638 0.2002
O5 O 0.3642 0.7454 0.2093
O6 O 0.7272 0.2106 0.9902
O7 O 0.7417 0.6937 0.9906
O8 O 0.7648 0.6496 0.4605
O9 O 0.8081 0.3514 0.7163
O10 O 0.8797 0.1270 0.3676
# Crystal system: triclinic
# Energy above the lowest structure with this stoichiometry: 0.2 kJ/mol of atoms
# Calculated volume: 10.7 Å³/atom

No. 3
# LiMnVP2H2O10 | Alexandria via LeMat-Bulk | PBE with a Hubbard U | relaxed
data_LiMnVP2H2O10
_chemical_formula_sum 'Li1 Mn1 V1 P2 H2 O10'
_cell_length_a 5.5229
_cell_length_b 5.5229
_cell_length_c 7.1766
_cell_angle_alpha 87.25
_cell_angle_beta 88.11
_cell_angle_gamma 69.43
_symmetry_space_group_name_H-M 'P 1'
_symmetry_Int_Tables_number 1
_symmetry_space_group_name_Hall 'P 1'
loop_
_atom_site_label
_atom_site_type_symbol
_atom_site_fract_x
_atom_site_fract_y
_atom_site_fract_z
Li1 Li 0.0000 0.0000 0.0000
Mn1 Mn 0.3680 0.3571 0.8576
V1 V 0.8933 0.9751 0.4794
P1 P 0.9561 0.4113 0.6444
P2 P 0.9573 0.4949 0.2300
H1 H 0.4502 0.7766 0.6035
H2 H 0.6875 0.5818 0.2319
O1 O 0.0340 0.2969 0.4142
O2 O 0.0538 0.7194 0.2592
O3 O 0.0607 0.3385 0.0588
O4 O 0.2544 0.7585 0.8323
O5 O 0.2619 0.8049 0.6276
O6 O 0.5355 0.0197 0.1960
O7 O 0.6137 0.1680 0.3331
O8 O 0.6291 0.0735 0.0178
O9 O 0.7739 0.7007 0.6048
O10 O 0.7749 0.2486 0.6922
# Crystal system: triclinic
# Energy above the lowest structure with this stoichiometry: 66.2 kJ/mol of atoms
# Calculated volume: 12.0 Å³/atom

No. 4
# LiMnVP2H2O10 | Alexandria via LeMat-Bulk | PBE with a Hubbard U | relaxed
data_LiMnVP2H2O10
_chemical_formula_sum 'Li2 Mn2 V2 P4 H4 O20'
_cell_length_a 5.3309
_cell_length_b 7.3595
_cell_length_c 10.5255
_cell_angle_alpha 105.77
_cell_angle_beta 95.03
_cell_angle_gamma 110.12
_symmetry_space_group_name_H-M 'P -1'
_symmetry_Int_Tables_number 2
_symmetry_space_group_name_Hall '-P 1'
loop_
_atom_site_label
_atom_site_type_symbol
_atom_site_fract_x
_atom_site_fract_y
_atom_site_fract_z
Li1 Li 0.1856 0.1190 0.2351
Mn1 Mn 0.2459 0.7427 0.7484
V1 V 0.0000 0.5000 0.0000
V2 V 0.5000 0.0000 0.5000
P1 P 0.1424 0.2996 0.5371
P2 P 0.3553 0.1956 0.9634
H1 H 0.0915 0.5794 0.2527
H2 H 0.4421 0.9178 0.2491
O1 O 0.0032 0.4497 0.1762
O2 O 0.0866 0.2672 0.3867
O3 O 0.1293 0.7788 0.4116
O4 O 0.1773 0.3183 0.9400
O5 O 0.1852 0.9742 0.8686
O6 O 0.3029 0.5256 0.6210
O7 O 0.3258 0.1804 0.5643
O8 O 0.3709 0.7259 0.0856
O9 O 0.4039 0.2064 0.1101
O10 O 0.4852 0.0518 0.3198
# Crystal system: triclinic
# Energy above the lowest structure with this stoichiometry: 0.2 kJ/mol of atoms
# Calculated volume: 10.8 Å³/atom

No. 5
# LiMnVP2H2O10 | Alexandria via LeMat-Bulk | PBE with a Hubbard U | relaxed
data_LiMnVP2H2O10
_chemical_formula_sum 'Li1 Mn1 V1 P2 H2 O10'
_cell_length_a 5.1662
_cell_length_b 5.3160
_cell_length_c 7.3481
_cell_angle_alpha 108.42
_cell_angle_beta 107.78
_cell_angle_gamma 93.41
_symmetry_space_group_name_H-M 'P 1'
_symmetry_Int_Tables_number 1
_symmetry_space_group_name_Hall 'P 1'
loop_
_atom_site_label
_atom_site_type_symbol
_atom_site_fract_x
_atom_site_fract_y
_atom_site_fract_z
Li1 Li 0.0000 0.0000 0.0000
Mn1 Mn 0.0003 0.5006 0.0016
V1 V 0.5002 0.0006 0.5013
P1 P 0.3966 0.5981 0.7577
P2 P 0.6040 0.4030 0.2451
H1 H 0.0012 0.1189 0.6823
H2 H 0.9993 0.8835 0.3202
O1 O 0.1526 0.8784 0.2665
O2 O 0.1886 0.6778 0.8707
O3 O 0.3053 0.3174 0.0899
O4 O 0.3289 0.2893 0.6419
O5 O 0.3595 0.7559 0.6102
O6 O 0.6411 0.2453 0.3927
O7 O 0.6715 0.7118 0.3608
O8 O 0.6952 0.6836 0.9128
O9 O 0.8120 0.3233 0.1321
O10 O 0.8481 0.1229 0.7362
# Crystal system: triclinic
# Energy above the lowest structure with this stoichiometry: 0.0 kJ/mol of atoms
# Calculated volume: 10.6 Å³/atom

No. 6
# LiMnVP2H2O10 | Alexandria via LeMat-Bulk | PBE with a Hubbard U | relaxed
data_LiMnVP2H2O10
_chemical_formula_sum 'Li1 Mn1 V1 P2 H2 O10'
_cell_length_a 5.3477
_cell_length_b 5.5731
_cell_length_c 6.7123
_cell_angle_alpha 96.76
_cell_angle_beta 97.87
_cell_angle_gamma 97.54
_symmetry_space_group_name_H-M 'P 1'
_symmetry_Int_Tables_number 1
_symmetry_space_group_name_Hall 'P 1'
loop_
_atom_site_label
_atom_site_type_symbol
_atom_site_fract_x
_atom_site_fract_y
_atom_site_fract_z
Li1 Li 0.0000 0.0000 0.0000
Mn1 Mn 0.8088 0.4182 0.2156
V1 V 0.6340 0.2899 0.7106
P1 P 0.0088 0.8665 0.5414
P2 P 0.1922 0.5389 0.9528
H1 H 0.3809 0.8276 0.2980
H2 H 0.5158 0.0158 0.9962
O1 O 0.1711 0.3614 0.1133
O2 O 0.2977 0.8046 0.0506
O3 O 0.3205 0.9871 0.5614
O4 O 0.3491 0.4537 0.7881
O5 O 0.4308 0.7989 0.4447
O6 O 0.6560 0.1448 0.9767
O7 O 0.6736 0.3522 0.4734
O8 O 0.9019 0.8124 0.3148
O9 O 0.9052 0.5527 0.8587
O10 O 0.9134 0.0506 0.6867
# Crystal system: triclinic
# Energy above the lowest structure with this stoichiometry: 33.8 kJ/mol of atoms
# Calculated volume: 11.4 Å³/atom

No. 7
# Li2MnH4S2O10 | Alexandria via LeMat-Bulk | PBE with a Hubbard U | relaxed
data_Li2MnH4S2O10
_chemical_formula_sum 'Li4 Mn2 H8 S4 O20'
_cell_length_a 5.4215
_cell_length_b 13.4414
_cell_length_c 5.5553
_cell_angle_alpha 90.00
_cell_angle_beta 97.95
_cell_angle_gamma 90.00
_symmetry_space_group_name_H-M 'P 1 21/c 1'
_symmetry_Int_Tables_number 14
_symmetry_space_group_name_Hall '-P 2ybc'
loop_
_atom_site_label
_atom_site_type_symbol
_atom_site_fract_x
_atom_site_fract_y
_atom_site_fract_z
Li1 Li 0.1603 0.1137 0.3246
Mn1 Mn 0.5000 0.0000 0.0000
H1 H 0.1513 0.1512 0.8507
H2 H 0.3848 0.2020 0.0072
S1 S 0.2667 0.6133 0.9787
O1 O 0.0412 0.6748 0.9044
O2 O 0.2290 0.5674 0.2185
O3 O 0.2793 0.5315 0.7964
O4 O 0.2806 0.1410 0.9964
O5 O 0.4993 0.6719 0.0029
# Crystal system: monoclinic
# Calculated volume: 10.6 Å³/atom
# Raw total energy: -5.88 eV/atom

no.,spin magnetization (μB per atom)
1,0.200
2,0.294
3,0.411
4,0.294
5,0.294
6,0.412
7,0.263